Material: CoTe4
Method: DFT, PBE
State: relaxed

Cell: 5.6017 5.6017 5.6017 Å, 109.47 109.47 109.47°
Last column: nearest neighbours and their distance in Å.
Fractional coordinates of all 5 atoms:
Co (0.0000, 0.0000, 0.0000)  8 Te 2.80
Te (0.0000, 0.0000, 0.5000)  2 Co 2.80
Te (0.0000, 0.5000, 0.0000)  2 Co 2.80
Te (0.5000, 0.0000, 0.0000)  2 Co 2.80
Te (0.5000, 0.5000, 0.5000)  2 Co 2.80

Output
**Space-group type**: Im-3m
**Final energy**: -18.259 eV per formula unit
**Formation energy without anion corrections**: 283 meV per atom